Record 1
Here is crystalline ReTe2Cl at its relaxed geometry from the Alexandria database. Energies are from PBEsol.

Values from the calculation:
**Relative energy among the computed polymorphs**: 0.0 kJ per mole of atoms
**ΔE_f (raw)**: 0.43 eV/atom

abc: 6.9186 6.9186 10.4187
angles: 90.00 90.00 90.00
Space group I-42d (No. 122)
Symmetry-distinct sites (fractional):
Re (0.0000, 0.0000, 0.0000)
Te (0.1822, 0.2500, 0.1250)
Cl (0.0000, 0.0000, 0.5000)

Record 2
Here is crystalline ReTe2Cl at its relaxed geometry from the Alexandria database. Energies are from PBEsol.

Values from the calculation:
**Relative energy among the computed polymorphs**: 3.5 kJ per mole of atoms
**ΔE_f (raw)**: 0.46 eV/atom

abc: 3.1093 4.6788 12.7093
angles: 90.00 90.00 90.00
Space group Immm (No. 71)
Symmetry-distinct sites (fractional):
Re (0.0000, 0.0000, 0.0000)
Te (0.0000, 0.5000, 0.3276)
Cl (0.0000, 0.0000, 0.5000)

Record 3
Here is crystalline Re2TeCl at its relaxed geometry from the Alexandria database. Energies are from PBEsol.

Values from the calculation:
**Relative energy among the computed polymorphs**: 36.2 kJ per mole of atoms
**ΔE_f (raw)**: 1.27 eV/atom

abc: 2.9376 4.4531 5.1731
angles: 90.00 90.00 90.00
Space group Pmmm (No. 47)
Symmetry-distinct sites (fractional):
Re (0.0000, 0.0000, 0.0000)
Re (0.5000, 0.0000, 0.5000)
Te (0.0000, 0.5000, 0.5000)
Cl (0.5000, 0.5000, 0.0000)

Record 4
Here is crystalline Re3TeCl at its relaxed geometry from the Alexandria database. Energies are from PBEsol.

Values from the calculation:
**ΔE_f (raw)**: 3.03 eV/atom

abc: 4.8759 4.8759 4.8759
angles: 90.00 90.00 90.00
Space group Pm-3m (No. 221)
Symmetry-distinct sites (fractional):
Re (0.0000, 0.0000, 0.5000)
Te (0.0000, 0.0000, 0.0000)
Cl (0.5000, 0.5000, 0.5000)